# 1
Here is a relaxed structure of MgNb3Pt from the Alexandria database. Energies are from PBE.

Values from the calculation:
Energy of formation from the pure elements ... 0.93 eV/atom
M_tot ... 0.00 μB per formula unit
Relative energy among the computed polymorphs ... 0 meV per atom

a b c (Å): 4.941 4.941 4.941
angles (deg): 90.00 90.00 90.00
Fractional positions:
Mg (0.000, 0.000, 0.000)
Nb (0.000, 0.500, 0.500)
Nb (0.500, 0.000, 0.500)
Nb (0.500, 0.500, 0.000)
Pt (0.500, 0.500, 0.500)

---

# 2
Here is a relaxed structure of Mg2Nb2Pt from the Alexandria database. Energies are from PBE.

Values from the calculation:
Energy of formation from the pure elements ... 0.29 eV/atom
M_tot ... 0.00 μB per formula unit
Relative energy among the computed polymorphs ... 72 meV per atom

a b c (Å): 3.565 3.565 16.360
angles (deg): 90.00 90.00 90.00
Fractional positions:
Mg (0.000, 0.000, 0.087)
Mg (0.000, 0.000, 0.913)
Mg (0.500, 0.500, 0.413)
Mg (0.500, 0.500, 0.587)
Nb (0.000, 0.500, 0.250)
Nb (0.000, 0.500, 0.750)
Nb (0.500, 0.000, 0.250)
Nb (0.500, 0.000, 0.750)
Pt (0.000, 0.000, 0.500)
Pt (0.500, 0.500, 0.000)

---

# 3
Here is a relaxed structure of MgNbPt6 from the Alexandria database. Energies are from PBE.

Values from the calculation:
Energy of formation from the pure elements ... -0.70 eV/atom
M_tot ... 0.00 μB per formula unit

a b c (Å): 3.989 3.989 7.934
angles (deg): 90.00 90.00 90.00
Fractional positions:
Mg (0.000, 0.000, 0.000)
Nb (0.000, 0.000, 0.500)
Pt (0.000, 0.500, 0.254)
Pt (0.000, 0.500, 0.746)
Pt (0.500, 0.000, 0.254)
Pt (0.500, 0.000, 0.746)
Pt (0.500, 0.500, 0.000)
Pt (0.500, 0.500, 0.500)

---

# 4
Here is a relaxed structure of MgNbPt3 from the Alexandria database. Energies are from PBE.

Values from the calculation:
Energy of formation from the pure elements ... 0.76 eV/atom
M_tot ... 0.00 μB per formula unit
Relative energy among the computed polymorphs ... 227 meV per atom

a b c (Å): 4.544 4.544 4.544
angles (deg): 90.00 90.00 90.00
Fractional positions:
Mg (0.000, 0.000, 0.000)
Nb (0.500, 0.500, 0.500)
Pt (0.000, 0.000, 0.500)
Pt (0.000, 0.500, 0.000)
Pt (0.500, 0.000, 0.000)

---

# 5
Here is a relaxed structure of MgNbPt from the Alexandria database. Energies are from PBE.

Values from the calculation:
Energy of formation from the pure elements ... -0.26 eV/atom
M_tot ... 0.00 μB per formula unit

a b c (Å): 4.573 4.573 6.149
angles (deg): 90.00 90.00 90.00
Fractional positions:
Mg (0.250, 0.750, 0.000)
Mg (0.750, 0.250, 0.000)
Nb (0.250, 0.750, 0.500)
Nb (0.750, 0.250, 0.500)
Pt (0.250, 0.250, 0.297)
Pt (0.750, 0.750, 0.703)

---

# 6
Here is a relaxed structure of MgNb2Pt from the Alexandria database. Energies are from PBE.

Values from the calculation:
Energy of formation from the pure elements ... 0.14 eV/atom
M_tot ... 0.00 μB per formula unit

a b c (Å): 7.704 7.704 5.270
angles (deg): 90.00 90.00 90.00
Fractional positions:
Mg (0.000, 0.000, 0.000)
Mg (0.000, 0.500, 0.250)
Mg (0.500, 0.000, 0.750)
Mg (0.500, 0.500, 0.500)
Nb (0.212, 0.250, 0.625)
Nb (0.250, 0.712, 0.875)
Nb (0.250, 0.788, 0.375)
Nb (0.288, 0.250, 0.125)
Nb (0.712, 0.750, 0.125)
Nb (0.750, 0.212, 0.375)
Nb (0.750, 0.288, 0.875)
Nb (0.788, 0.750, 0.625)
Pt (0.000, 0.000, 0.500)
Pt (0.000, 0.500, 0.750)
Pt (0.500, 0.000, 0.250)
Pt (0.500, 0.500, 0.000)

---

# 7
Here is a relaxed structure of MgNbPt5 from the Alexandria database. Energies are from PBE.

Values from the calculation:
Energy of formation from the pure elements ... -0.56 eV/atom
M_tot ... 0.00 μB per formula unit

a b c (Å): 3.990 3.990 7.509
angles (deg): 90.00 90.00 90.00
Fractional positions:
Mg (0.000, 0.000, 0.000)
Nb (0.500, 0.500, 0.500)
Pt (0.000, 0.000, 0.500)
Pt (0.000, 0.500, 0.241)
Pt (0.000, 0.500, 0.759)
Pt (0.500, 0.000, 0.241)
Pt (0.500, 0.000, 0.759)

---

# 8
Here is a relaxed structure of Mg2Nb2Pt from the Alexandria database. Energies are from PBE.

Values from the calculation:
Energy of formation from the pure elements ... 0.44 eV/atom
M_tot ... 0.00 μB per formula unit
Relative energy among the computed polymorphs ... 216 meV per atom

a b c (Å): 3.698 3.698 14.619
angles (deg): 90.00 90.00 90.00
Fractional positions:
Mg (0.000, 0.500, 0.250)
Mg (0.000, 0.500, 0.750)
Mg (0.500, 0.000, 0.250)
Mg (0.500, 0.000, 0.750)
Nb (0.000, 0.000, 0.082)
Nb (0.000, 0.000, 0.918)
Nb (0.500, 0.500, 0.418)
Nb (0.500, 0.500, 0.582)
Pt (0.000, 0.000, 0.500)
Pt (0.500, 0.500, 0.000)

---

# 9
Here is a relaxed structure of MgNbPt14 from the Alexandria database. Energies are from PBE.

Values from the calculation:
Energy of formation from the pure elements ... -0.35 eV/atom
M_tot ... 0.00 μB per formula unit

a b c (Å): 5.630 5.630 7.922
angles (deg): 90.00 90.00 90.00
Fractional positions:
Mg (0.000, 0.000, 0.000)
Nb (0.500, 0.500, 0.000)
Pt (0.000, 0.000, 0.500)
Pt (0.000, 0.500, 0.000)
Pt (0.000, 0.500, 0.500)
Pt (0.251, 0.251, 0.246)
Pt (0.251, 0.251, 0.754)
Pt (0.251, 0.749, 0.246)
Pt (0.251, 0.749, 0.754)
Pt (0.500, 0.000, 0.000)
Pt (0.500, 0.000, 0.500)
Pt (0.500, 0.500, 0.500)
Pt (0.749, 0.251, 0.246)
Pt (0.749, 0.251, 0.754)
Pt (0.749, 0.749, 0.246)
Pt (0.749, 0.749, 0.754)

---

# 10
Here is a relaxed structure of MgNbPt2 from the Alexandria database. Energies are from PBE.

Values from the calculation:
Energy of formation from the pure elements ... -0.77 eV/atom
M_tot ... 0.00 μB per formula unit

a b c (Å): 2.905 2.905 7.690
angles (deg): 90.00 90.00 90.00
Fractional positions:
Mg (0.000, 0.000, 0.000)
Nb (0.000, 0.000, 0.500)
Pt (0.500, 0.500, 0.247)
Pt (0.500, 0.500, 0.753)

---

# 11
Here is a relaxed structure of MgNbPt3 from the Alexandria database. Energies are from PBE.

Values from the calculation:
Energy of formation from the pure elements ... 0.53 eV/atom
M_tot ... 0.00 μB per formula unit
Relative energy among the computed polymorphs ... 0 meV per atom

a b c (Å): 4.895 4.895 4.895
angles (deg): 90.00 90.00 90.00
Fractional positions:
Mg (0.000, 0.000, 0.000)
Nb (0.500, 0.500, 0.500)
Pt (0.000, 0.500, 0.500)
Pt (0.500, 0.000, 0.500)
Pt (0.500, 0.500, 0.000)

---

# 12
Here is a relaxed structure of Mg2Nb2Pt from the Alexandria database. Energies are from PBE.

Values from the calculation:
Energy of formation from the pure elements ... 0.22 eV/atom
M_tot ... 0.00 μB per formula unit
Relative energy among the computed polymorphs ... 0 meV per atom

a b c (Å): 6.505 6.505 4.298
angles (deg): 90.00 90.00 90.00
Fractional positions:
Mg (0.146, 0.354, 0.000)
Mg (0.354, 0.854, 0.000)
Mg (0.646, 0.146, 0.000)
Mg (0.854, 0.646, 0.000)
Nb (0.154, 0.654, 0.500)
Nb (0.346, 0.154, 0.500)
Nb (0.654, 0.846, 0.500)
Nb (0.846, 0.346, 0.500)
Pt (0.000, 0.000, 0.000)
Pt (0.500, 0.500, 0.000)

---

Which value of M_tot does entry 2 give? 0.00 μB per formula unit

---

energy of formation from the pure elements of number 12 (Mg2Nb2Pt)? 0.22 eV/atom

---

Which formula does entry 11 have? MgNbPt3